Entry 1:
Density functional theory data (GGA-PBE) for an optimized crystal structure of Li3Ca2OsO6.

abc: 5.7347 5.7347 5.2629
angles: 98.49 98.49 122.18
Last column: nearest neighbours and their distance in Å.
Fractional coordinates of all 12 atoms:
O (0.7689, 0.7689, 0.2322)  1 Os 2.02, 2 Li 2.03
Ca (0.6695, 0.3305, 0.0000)  6 O 2.33-2.37
Os (0.0000, 0.0000, 0.0000)  6 O 2.02
Li (0.1257, 0.8743, 0.5000)  4 O 2.03-2.08
Ca (0.3305, 0.6695, 0.0000)  6 O 2.33-2.37
O (0.9304, 0.6468, 0.7632)  1 Os 2.02, 1 Li 2.08
O (0.0696, 0.3532, 0.2368)  1 Os 2.02, 1 Li 2.08
O (0.6468, 0.9304, 0.7632)  1 Os 2.02, 1 Li 2.08
O (0.3532, 0.0696, 0.2368)  1 Os 2.02, 1 Li 2.08
O (0.2311, 0.2311, 0.7678)  1 Os 2.02, 2 Li 2.03
Li (0.5000, 0.5000, 0.5000)  6 O 2.27-2.34
Li (0.8743, 0.1257, 0.5000)  4 O 2.03-2.08

## Properties
* magnetic moment: 3.00 μB per formula unit
* V: 139.5 Å³/f.u.
* formation energy without anion corrections: -2035 meV per atom

=====

Entry 2:
Density functional theory data (GGA-PBE) for an optimized crystal structure of LiCa3OsO6.

abc: 6.5053 6.5053 6.5053
angles: 92.00 92.00 92.00
Last column: nearest neighbours and their distance in Å.
Fractional coordinates of all 22 atoms:
Ca (0.8979, 0.6021, 0.2500)  6 O 2.32-2.51
Ca (0.7500, 0.1021, 0.3979)  6 O 2.32-2.51
O (0.5491, 0.4240, 0.2082)  1 Os 1.98
Ca (0.2500, 0.8979, 0.6021)  6 O 2.32-2.51
Ca (0.6021, 0.2500, 0.8979)  6 O 2.32-2.51
O (0.9509, 0.2918, 0.0760)  1 Os 1.98
O (0.2918, 0.0760, 0.9509)  1 Os 1.98
O (0.9240, 0.0491, 0.7082)  1 Os 1.98
Os (0.5000, 0.5000, 0.5000)  6 O 1.98
O (0.4240, 0.2082, 0.5491)  1 Os 1.98
O (0.0491, 0.7082, 0.9240)  1 Os 1.98
O (0.4509, 0.5760, 0.7918)  1 Os 1.98
Li (0.2500, 0.2500, 0.2500)  6 O 2.25
Ca (0.1021, 0.3979, 0.7500)  6 O 2.32-2.51
O (0.2082, 0.5491, 0.4240)  1 Os 1.98
O (0.7082, 0.9240, 0.0491)  1 Os 1.98
Li (0.7500, 0.7500, 0.7500)  6 O 2.25
O (0.7918, 0.4509, 0.5760)  1 Os 1.98
O (0.5760, 0.7918, 0.4509)  1 Os 1.98
Ca (0.3979, 0.7500, 0.1021)  6 O 2.32-2.51
Os (0.0000, 0.0000, 0.0000)  6 O 1.98
O (0.0760, 0.9509, 0.2918)  1 Os 1.98

## Properties
* magnetic moment: 3.00 μB per formula unit
* V: 137.4 Å³/f.u.
* DOS(E_F): 0.04 states/eV/cell
* formation energy without anion corrections: -2267 meV per atom

=====

Entry 3:
Density functional theory data (GGA-PBE) for an optimized crystal structure of Li2Ca2OsO6.

abc: 5.7225 5.7225 5.2453
angles: 97.29 97.29 119.39
Last column: nearest neighbours and their distance in Å.
Fractional coordinates of all 11 atoms:
O (0.2261, 0.2261, 0.2701)  1 Os 1.99, 2 Li 2.06
O (0.6737, 0.9605, 0.2848)  1 Os 1.95, 1 Li 2.04
Li (0.1227, 0.8773, 0.0000)  4 O 2.04-2.06
O (0.3263, 0.0395, 0.7152)  1 Os 1.95, 1 Li 2.04
O (0.0395, 0.3263, 0.7152)  1 Os 1.95, 1 Li 2.04
O (0.7739, 0.7739, 0.7299)  1 Os 1.99, 2 Li 2.06
Li (0.8773, 0.1227, 0.0000)  4 O 2.04-2.06
Ca (0.6623, 0.3377, 0.5000)  6 O 2.34-2.39
Ca (0.3377, 0.6623, 0.5000)  6 O 2.34-2.39
O (0.9605, 0.6737, 0.2848)  1 Os 1.95, 1 Li 2.04
Os (0.0000, 0.0000, 0.5000)  6 O 1.95-1.99

## Properties
* magnetic moment: 2.00 μB per formula unit
* V: 144.9 Å³/f.u.
* DOS(E_F): 4.52 states/eV/cell
* formation energy without anion corrections: -1989 meV per atom

=====

Entry 4:
Density functional theory data (GGA-PBE) for an optimized crystal structure of Li2CaPO4.

abc: 5.9005 5.9005 5.9005
angles: 66.98 134.07 134.07
Last column: nearest neighbours and their distance in Å.
Fractional coordinates of all 8 atoms:
O (0.9794, 0.2004, 0.5960)  1 P 1.57
Li (0.5000, 0.7500, 0.2500)  4 O 2.23
P (0.0000, 0.5000, 0.5000)  4 O 1.57
Ca (0.5000, 0.2500, 0.7500)  4 O 2.33
O (0.6045, 0.4040, 0.3835)  1 P 1.57
Li (0.0000, 0.0000, 0.0000)  4 O 2.17
O (0.0206, 0.6165, 0.2210)  1 P 1.57
O (0.3955, 0.7790, 0.7996)  1 P 1.57

## Properties
* magnetic moment: 0.74 μB per formula unit
* V: 104.3 Å³/f.u.
* DOS(E_F): 2.39 states/eV/cell
* formation energy without anion corrections: -2132 meV per atom